KZr3Zn | PBE | optimized geometry

Values from the calculation:
- Relative energy among the computed polymorphs: 0.0 meV per atom
- Total moment: 0.0 μB/cell
- Uncorrected energy: -23.44 eV/cell
- DOS(E_F): 9.06 states/eV per cell
- Formation energy: 0.9158 eV per atom

abc: 5.2087 5.2087 5.2087
angles: 90.00 90.00 90.00
Last column: nearest neighbours and their distance in Å.
Space group Pm-3m (No. 221)
Asymmetric unit:
1 K 0.0000 0.0000 0.0000  12 Zr 3.68
2 Zr 0.0000 0.5000 0.5000  2 Zn 2.60
3 Zn 0.5000 0.5000 0.5000  6 Zr 2.60